# 1
Here is Fe4P6SN12 after structural relaxation from Alexandria via LeMat-Bulk. Energies are from PBE-GGA.

Raw total energy, eV for the cell shown: -157.1
Calculated volume, Å³ per cell: 250.9
Energy relative to the elements, uncorrected, eV/atom: 0.576

a = 6.945 Å, b = 6.945 Å, c = 6.945 Å
α = 115.24°, β = 115.24°, γ = 98.47°
Sites, in units of the cell vectors:
Fe: 0.247 0.247 0.784
Fe: 0.462 0.462 0.216
Fe: 0.538 0.753 0.000
Fe: 0.753 0.538 0.000
P: 0.000 0.500 0.500
P: 0.007 0.346 0.000
P: 0.346 0.007 0.000
P: 0.500 0.000 0.500
P: 0.654 0.654 0.661
P: 0.993 0.993 0.339
S: 0.000 0.000 0.000
N: 0.010 0.605 0.000
N: 0.044 0.279 0.507
N: 0.228 0.721 0.765
N: 0.279 0.044 0.507
N: 0.395 0.395 0.405
N: 0.464 0.956 0.235
N: 0.536 0.772 0.493
N: 0.605 0.010 0.000
N: 0.721 0.228 0.765
N: 0.772 0.536 0.493
N: 0.956 0.464 0.235
N: 0.990 0.990 0.595

***

# 2
Here is FePS2N after structural relaxation from Alexandria via LeMat-Bulk. Energies are from PBE-GGA.

Raw total energy, eV for the cell shown: -22.7
Relative energy among the computed polymorphs, kJ/mol of atoms: 89.07
Calculated volume, Å³ per cell: 78.8
Energy relative to the elements, uncorrected, eV/atom: 1.544

a = 4.236 Å, b = 4.236 Å, c = 4.394 Å
α = 90.00°, β = 90.00°, γ = 90.00°
Sites, in units of the cell vectors:
Fe: 0.000 0.000 0.000
P: 0.000 0.000 0.500
S: 0.000 0.500 0.000
S: 0.500 0.000 0.000
N: 0.500 0.500 0.500

***

# 3
Here is FePS2N after structural relaxation from Alexandria via LeMat-Bulk. Energies are from PBE-GGA.

Raw total energy, eV for the cell shown: -27.1
Relative energy among the computed polymorphs, kJ/mol of atoms: 3.99
Calculated volume, Å³ per cell: 70.5
Energy relative to the elements, uncorrected, eV/atom: 0.662

a = 4.682 Å, b = 4.682 Å, c = 3.214 Å
α = 90.00°, β = 90.00°, γ = 90.00°
Sites, in units of the cell vectors:
Fe: 0.000 0.000 0.000
P: 0.500 0.500 0.500
S: 0.000 0.500 0.500
S: 0.500 0.000 0.500
N: 0.500 0.500 0.000

***

# 4
Here is ScFeP2N after structural relaxation from Alexandria via LeMat-Bulk. Energies are from PBE-GGA.

Raw total energy, eV for the cell shown: -27.5
Calculated volume, Å³ per cell: 95.3
Energy relative to the elements, uncorrected, eV/atom: 1.288

a = 4.909 Å, b = 4.909 Å, c = 3.956 Å
α = 90.00°, β = 90.00°, γ = 90.00°
Sites, in units of the cell vectors:
Sc: 0.000 0.000 0.000
Fe: 0.500 0.500 0.500
P: 0.000 0.500 0.000
P: 0.500 0.000 0.000
N: 0.000 0.000 0.500

***

# 5
Here is FePSeN2 after structural relaxation from Alexandria via LeMat-Bulk. Energies are from PBE-GGA.

Raw total energy, eV for the cell shown: -29.2
Relative energy among the computed polymorphs, kJ/mol of atoms: 12.48
Calculated volume, Å³ per cell: 71.3
Energy relative to the elements, uncorrected, eV/atom: 0.963

a = 3.531 Å, b = 3.531 Å, c = 5.719 Å
α = 90.00°, β = 90.00°, γ = 90.00°
Sites, in units of the cell vectors:
Fe: 0.000 0.000 0.000
P: 0.500 0.500 0.500
Se: 0.000 0.000 0.500
N: 0.000 0.500 0.000
N: 0.500 0.000 0.000

***

# 6
Here is FePSeN2 after structural relaxation from Alexandria via LeMat-Bulk. Energies are from PBE-GGA.

Raw total energy, eV for the cell shown: -29.8
Relative energy among the computed polymorphs, kJ/mol of atoms: 0.00
Calculated volume, Å³ per cell: 75.7
Energy relative to the elements, uncorrected, eV/atom: 0.834

a = 3.361 Å, b = 3.361 Å, c = 6.698 Å
α = 90.00°, β = 90.00°, γ = 90.00°
Sites, in units of the cell vectors:
Fe: 0.000 0.000 0.000
P: 0.500 0.500 0.500
Se: 0.500 0.500 0.000
N: 0.000 0.500 0.500
N: 0.500 0.000 0.500

***

# 7
Here is FePSe2N after structural relaxation from Alexandria via LeMat-Bulk. Energies are from PBE-GGA.

Raw total energy, eV for the cell shown: -26.5
Relative energy among the computed polymorphs, kJ/mol of atoms: 0.00
Calculated volume, Å³ per cell: 79.6
Energy relative to the elements, uncorrected, eV/atom: 0.524

a = 4.837 Å, b = 4.837 Å, c = 3.400 Å
α = 90.00°, β = 90.00°, γ = 90.00°
Sites, in units of the cell vectors:
Fe: 0.000 0.000 0.000
P: 0.500 0.500 0.500
Se: 0.000 0.500 0.000
Se: 0.500 0.000 0.000
N: 0.000 0.000 0.500

***

# 8
Here is FePSe2N after structural relaxation from Alexandria via LeMat-Bulk. Energies are from PBE-GGA.

Raw total energy, eV for the cell shown: -24.7
Relative energy among the computed polymorphs, kJ/mol of atoms: 36.57
Calculated volume, Å³ per cell: 76.0
Energy relative to the elements, uncorrected, eV/atom: 0.903

a = 4.894 Å, b = 4.894 Å, c = 3.175 Å
α = 90.00°, β = 90.00°, γ = 90.00°
Sites, in units of the cell vectors:
Fe: 0.000 0.000 0.000
P: 0.500 0.500 0.500
Se: 0.000 0.500 0.500
Se: 0.500 0.000 0.500
N: 0.500 0.500 0.000

***

# 9
Here is SmFe2PN after structural relaxation from Alexandria via LeMat-Bulk. Energies are from PBE-GGA.

Raw total energy, eV for the cell shown: -79.8
Calculated volume, Å³ per cell: 128.7
Energy relative to the elements, uncorrected, eV/atom: -0.905

a = 5.558 Å, b = 5.558 Å, c = 6.727 Å
α = 90.00°, β = 90.00°, γ = 141.75°
Sites, in units of the cell vectors:
Sm: 0.047 0.953 0.750
Sm: 0.953 0.047 0.250
Fe: 0.334 0.666 0.555
Fe: 0.334 0.666 0.945
Fe: 0.666 0.334 0.055
Fe: 0.666 0.334 0.445
P: 0.228 0.772 0.250
P: 0.772 0.228 0.750
N: 0.500 0.500 0.000
N: 0.500 0.500 0.500

***

# 10
Here is SrFePN2 after structural relaxation from Alexandria via LeMat-Bulk. Energies are from PBE-GGA.

Raw total energy, eV for the cell shown: -27.3
Calculated volume, Å³ per cell: 87.5
Energy relative to the elements, uncorrected, eV/atom: 0.991

a = 3.786 Å, b = 3.786 Å, c = 6.101 Å
α = 90.00°, β = 90.00°, γ = 90.00°
Sites, in units of the cell vectors:
Sr: 0.000 0.000 0.000
Fe: 0.000 0.000 0.500
P: 0.500 0.500 0.000
N: 0.000 0.500 0.500
N: 0.500 0.000 0.500

***

# 11
Here is SrFe2PN after structural relaxation from Alexandria via LeMat-Bulk. Energies are from PBE-GGA.

Raw total energy, eV for the cell shown: -70.6
Calculated volume, Å³ per cell: 134.4
Energy relative to the elements, uncorrected, eV/atom: -0.595

a = 5.583 Å, b = 5.583 Å, c = 6.727 Å
α = 90.00°, β = 90.00°, γ = 140.16°
Sites, in units of the cell vectors:
Sr: 0.049 0.951 0.750
Sr: 0.951 0.049 0.250
Fe: 0.336 0.664 0.556
Fe: 0.336 0.664 0.944
Fe: 0.664 0.336 0.056
Fe: 0.664 0.336 0.444
P: 0.228 0.772 0.250
P: 0.772 0.228 0.750
N: 0.500 0.500 0.000
N: 0.500 0.500 0.500

***

# 12
Here is Sr2FeP2N6 after structural relaxation from Alexandria via LeMat-Bulk. Energies are from PBE-GGA.

Raw total energy, eV for the cell shown: -76.7
Calculated volume, Å³ per cell: 142.9
Energy relative to the elements, uncorrected, eV/atom: -0.370

a = 6.307 Å, b = 6.307 Å, c = 6.307 Å
α = 51.72°, β = 51.72°, γ = 51.72°
Sites, in units of the cell vectors:
Sr: 0.213 0.213 0.213
Sr: 0.787 0.787 0.787
Fe: 0.000 0.000 0.000
P: 0.407 0.407 0.407
P: 0.593 0.593 0.593
N: 0.244 0.244 0.742
N: 0.244 0.742 0.244
N: 0.258 0.756 0.756
N: 0.742 0.244 0.244
N: 0.756 0.258 0.756
N: 0.756 0.756 0.258